1.
Density functional theory data (GGA-PBE) for an optimized crystal structure of Mn2TlSi.

a = 4.0702 Å, b = 4.0702 Å, c = 5.2200 Å
α = 67.57°, β = 67.57°, γ = 60.03°
Site moments in Bohr magnetons follow the coordinates.
Sites, in units of the cell vectors:
Mn  0.4521  0.4521  0.6407  2.38
Mn  0.0479  0.0479  0.8593  2.38
Si  0.7500  0.7500  0.7500  -0.08
Tl  0.2500  0.2500  0.2500  -0.04

## Properties
Total magnetic moment, Bohr magnetons per cell: 4.77
Formation energy (no corrections), eV per atom: 0.26

***

2.
Density functional theory data (GGA-PBE) for an optimized crystal structure of Er2ThPb.

a = 3.5581 Å, b = 3.5581 Å, c = 11.1710 Å
α = 80.88°, β = 80.88°, γ = 60.01°
Sites, in units of the cell vectors:
Th  0.4999  0.4999  0.5002
Er  0.0796  0.0796  0.7614
Er  0.2538  0.2538  0.2383
Pb  0.6667  0.6667  0.0000

## Properties
Total magnetic moment, Bohr magnetons per cell: 0.00
Calculated formation energy, eV per formula unit: -0.50
Excess energy over the best structure of this formula in the dataset, eV per atom: 0.091

***

3.
Density functional theory data (GGA-PBE) for an optimized crystal structure of TlCl3.

a = 5.7957 Å, b = 5.7957 Å, c = 5.7957 Å
α = 90.00°, β = 90.00°, γ = 90.00°
Site moments in Bohr magnetons follow the coordinates.
Sites, in units of the cell vectors:
Cl  0.5000  0.0000  0.2500  0.07
Cl  0.0000  0.2500  0.5000  0.07
Cl  0.0000  0.7500  0.5000  0.07
Cl  0.2500  0.5000  0.0000  0.07
Cl  0.7500  0.5000  0.0000  0.07
Cl  0.5000  0.0000  0.7500  0.07
Tl  0.0000  0.0000  0.0000  0.02
Tl  0.5000  0.5000  0.5000  0.02

## Properties
Total magnetic moment, Bohr magnetons per cell: 0.53
Formation energy (no corrections), eV per atom: -0.21

***

4.
Density functional theory data (GGA-PBE) for an optimized crystal structure of YMn2Rh.

a = 4.4368 Å, b = 3.9843 Å, c = 3.9843 Å
α = 90.00°, β = 90.00°, γ = 90.00°
Site moments in Bohr magnetons follow the coordinates.
Sites, in units of the cell vectors:
Rh  0.5000  0.5000  0.0000  0.28
Mn  0.0000  0.5000  0.5000  3.59
Mn  0.0000  0.0000  0.0000  3.59
Y  0.5000  0.0000  0.5000  -0.08

## Properties
Total magnetic moment, Bohr magnetons per cell: 7.75
Calculated formation energy, eV per formula unit: -0.18

***

5.
Density functional theory data (GGA-PBE) for an optimized crystal structure of Tb2PrGa.

a = 3.5612 Å, b = 3.5612 Å, c = 9.0395 Å
α = 90.00°, β = 90.00°, γ = 90.00°
Sites, in units of the cell vectors:
Tb  0.0000  0.0000  0.2042
Tb  0.0000  0.0000  0.7958
Pr  0.5000  0.5000  0.5000
Ga  0.5000  0.5000  0.0000

## Properties
Total magnetic moment, Bohr magnetons per cell: 0.00
Calculated formation energy, eV per formula unit: -1.13
Excess energy over the best structure of this formula in the dataset, eV per atom: 0.000

***

6.
Density functional theory data (GGA-PBE) for an optimized crystal structure of CaPPt.

a = 4.5681 Å, b = 4.5681 Å, c = 4.5681 Å
α = 60.00°, β = 60.00°, γ = 60.00°
Sites, in units of the cell vectors:
Ca  0.7500  0.7500  0.7500
P  0.0000  0.0000  0.0000
Pt  0.5000  0.5000  0.5000

## Properties
Total magnetic moment, Bohr magnetons per cell: 0.00
Calculated formation energy, eV per formula unit: 0.16

***

7.
Density functional theory data (GGA-PBE) for an optimized crystal structure of Ce5Os2Au2.

a = 6.5083 Å, b = 7.4099 Å, c = 10.3981 Å
α = 110.87°, β = 108.24°, γ = 90.00°
Site moments in Bohr magnetons follow the coordinates.
Sites, in units of the cell vectors:
Au  0.8225  0.4865  0.8700  0.00
Au  0.5474  0.9865  0.8700  0.00
Au  0.1775  0.6166  0.1300  0.00
Au  0.4526  0.1166  0.1300  0.00
Ce  0.4741  0.1914  0.6673  0.53
Ce  0.0933  0.1388  0.8508  0.44
Ce  0.3068  0.0242  0.3327  0.53
Ce  0.2575  0.6388  0.8508  0.44
Ce  0.8899  0.2437  0.5000  0.57
Ce  0.6932  0.6914  0.6673  0.53
Ce  0.5259  0.5242  0.3327  0.53
Ce  0.9067  0.2881  0.1492  0.44
Ce  0.7425  0.7881  0.1492  0.44
Ce  0.1101  0.7437  0.5000  0.57
Os  0.0000  0.9281  0.0000  -0.09
Os  0.5000  0.4281  0.0000  -0.09
Os  0.7364  0.9186  0.5000  -0.07
Os  0.2636  0.4186  0.5000  -0.07

## Properties
Total magnetic moment, Bohr magnetons per cell: 6.03
Calculated formation energy, eV per formula unit: -2.51
Excess energy over the best structure of this formula in the dataset, eV per atom: 0.118

***

8.
Density functional theory data (GGA-PBE) for an optimized crystal structure of K3Ni2Br8.

a = 7.4529 Å, b = 7.4529 Å, c = 10.2781 Å
α = 68.74°, β = 68.74°, γ = 60.00°
Site moments in Bohr magnetons follow the coordinates.
Sites, in units of the cell vectors:
Br  0.3256  0.3256  0.0231  0.18
Br  0.2197  0.7369  0.3065  0.17
Br  0.2631  0.2631  0.6935  0.17
Br  0.2631  0.7803  0.6935  0.17
Br  0.7803  0.2631  0.6935  0.17
Br  0.7369  0.7369  0.3065  0.17
Br  0.7369  0.2197  0.3065  0.17
Br  0.6744  0.6744  0.9769  0.18
Ni  0.5911  0.5911  0.2266  1.47
Ni  0.4089  0.4089  0.7734  1.47
K  0.7916  0.7916  0.6253  0.00
K  0.2084  0.2084  0.3747  0.00
K  0.0000  0.0000  0.0000  0.00

## Properties
Total magnetic moment, Bohr magnetons per cell: 5.00
Formation energy (no corrections), eV per atom: -0.91

***

9.
Density functional theory data (GGA-PBE) for an optimized crystal structure of KSiAu3.

a = 14.3931 Å, b = 8.6262 Å, c = 8.6262 Å
α = 113.61°, β = 139.33°, γ = 40.67°
Sites, in units of the cell vectors:
Au  0.4139  0.5732  0.7561
Au  0.0866  0.5878  0.4018
Au  0.9134  0.4122  0.5982
Au  0.4052  0.2617  0.4240
Au  0.9139  0.7439  0.9268
Au  0.5866  0.0982  0.9122
Au  0.5948  0.7383  0.5760
Au  0.4134  0.9018  0.0878
Au  0.0948  0.9240  0.7617
Au  0.0861  0.2561  0.0732
Au  0.9052  0.0760  0.2383
Au  0.5861  0.4268  0.2439
K  0.2500  0.4045  0.9045
K  0.7500  0.5955  0.0955
K  0.2500  0.7496  0.2496
K  0.7500  0.2504  0.7504
Si  0.8037  0.9642  0.3858
Si  0.3037  0.1142  0.5358
Si  0.6963  0.8858  0.4642
Si  0.1963  0.0358  0.6142

## Properties
Total magnetic moment, Bohr magnetons per cell: 0.00
Formation energy (no corrections), eV per atom: -0.12

***

10.
Density functional theory data (GGA-PBE) for an optimized crystal structure of SnRh2Br2.

a = 6.7989 Å, b = 6.7989 Å, c = 4.9176 Å
α = 90.00°, β = 90.00°, γ = 90.00°
Sites, in units of the cell vectors:
Sn  0.5000  0.5000  0.0000
Sn  0.0000  0.0000  0.0000
Br  0.8101  0.6899  0.5000
Br  0.6899  0.1899  0.5000
Br  0.1899  0.3101  0.5000
Br  0.3101  0.8101  0.5000
Rh  0.3667  0.8667  0.0000
Rh  0.6333  0.1333  0.0000
Rh  0.1333  0.3667  0.0000
Rh  0.8667  0.6333  0.0000

## Properties
Total magnetic moment, Bohr magnetons per cell: 0.00
Formation energy (no corrections), eV per atom: 0.02
Excess energy over the best structure of this formula in the dataset, eV per atom: 0.000

***

11.
Density functional theory data (GGA-PBE) for an optimized crystal structure of La2RhO.

a = 3.8897 Å, b = 3.8897 Å, c = 7.0584 Å
α = 74.01°, β = 74.01°, γ = 60.00°
Sites, in units of the cell vectors:
La  0.2578  0.2578  0.2266
La  0.7422  0.7422  0.7734
O  0.0000  0.0000  0.0000
Rh  0.5000  0.5000  0.5000

## Properties
Total magnetic moment, Bohr magnetons per cell: 0.00
Formation energy (no corrections), eV per atom: -1.62

***

12.
Density functional theory data (GGA-PBE) for an optimized crystal structure of RbNpIn2Cl8.

a = 7.0644 Å, b = 6.8175 Å, c = 9.2111 Å
α = 89.89°, β = 90.04°, γ = 88.91°
Site moments in Bohr magnetons follow the coordinates.
Sites, in units of the cell vectors:
Cl  0.1472  0.7762  0.8013  -0.05
Cl  0.3623  0.2908  0.5001  -0.03
Cl  0.1461  0.7752  0.1996  -0.05
Cl  0.8539  0.2248  0.8004  -0.05
Cl  0.6377  0.7092  0.4999  -0.03
Cl  0.8528  0.2238  0.1987  -0.05
Cl  0.7062  0.7896  0.9994  -0.07
Cl  0.2938  0.2104  0.0006  -0.07
In  0.4999  0.5003  0.2654  -0.06
In  0.5001  0.4997  0.7346  -0.06
Rb  0.0000  0.0000  0.5000  0.00
Np  0.0000  0.0000  0.0000  2.85

## Properties
Total magnetic moment, Bohr magnetons per cell: 2.23
Formation energy (no corrections), eV per atom: -1.36

***

13.
Density functional theory data (GGA-PBE) for an optimized crystal structure of TcNiP2.

a = 4.1956 Å, b = 4.1956 Å, c = 4.1956 Å
α = 60.00°, β = 60.00°, γ = 60.00°
Sites, in units of the cell vectors:
Tc  0.7500  0.7500  0.7500
P  0.0000  0.0000  0.0000
P  0.2500  0.2500  0.2500
Ni  0.5000  0.5000  0.5000

## Properties
Total magnetic moment, Bohr magnetons per cell: 0.00
Calculated formation energy, eV per formula unit: 1.42
Excess energy over the best structure of this formula in the dataset, eV per atom: 0.699

***

14.
Density functional theory data (GGA-PBE) for an optimized crystal structure of La2Dy3Tm7.

a = 3.6012 Å, b = 5.6487 Å, c = 19.1322 Å
α = 98.49°, β = 90.00°, γ = 90.00°
Sites, in units of the cell vectors:
Tm  0.5000  0.9304  0.8607
Tm  0.0000  0.4127  0.8255
Tm  0.0000  0.7695  0.5390
Tm  0.0000  0.0000  0.0000
Tm  0.5000  0.0696  0.1393
Tm  0.0000  0.2305  0.4610
Tm  0.0000  0.5873  0.1745
La  0.0000  0.8533  0.7066
La  0.0000  0.1467  0.2934
Dy  0.5000  0.6878  0.3755
Dy  0.5000  0.5000  0.0000
Dy  0.5000  0.3122  0.6245

## Properties
Total magnetic moment, Bohr magnetons per cell: 0.00
Calculated formation energy, eV per formula unit: 1.50
Excess energy over the best structure of this formula in the dataset, eV per atom: 0.031

***

15.
Density functional theory data (GGA-PBE) for an optimized crystal structure of CoAsPt2.

a = 2.8748 Å, b = 2.8748 Å, c = 7.0455 Å
α = 90.00°, β = 90.00°, γ = 90.00°
Site moments in Bohr magnetons follow the coordinates.
Sites, in units of the cell vectors:
Pt  0.5000  0.5000  0.2639  0.03
Pt  0.0000  0.0000  0.9764  0.12
As  0.0000  0.0000  0.5280  -0.02
Co  0.5000  0.5000  0.7316  1.09

## Properties
Total magnetic moment, Bohr magnetons per cell: 1.18
Calculated formation energy, eV per formula unit: 0.08

***

16.
Density functional theory data (GGA-PBE) for an optimized crystal structure of AlV3Cr2.

a = 4.0126 Å, b = 8.6597 Å, c = 8.6597 Å
α = 120.00°, β = 90.00°, γ = 90.00°
Sites, in units of the cell vectors:
V  0.0000  0.0000  0.6774
V  0.5000  0.5000  0.5000
V  0.0000  0.0000  0.3226
V  0.0000  0.3226  0.3226
V  0.0000  0.3226  0.0000
V  0.0000  0.6774  0.0000
V  0.5000  0.0000  0.5000
V  0.0000  0.6774  0.6774
V  0.5000  0.5000  0.0000
Al  0.5000  0.0000  0.0000
Al  0.0000  0.3333  0.6667
Al  0.0000  0.6667  0.3333
Cr  0.5000  0.6512  0.8256
Cr  0.5000  0.1744  0.3488
Cr  0.5000  0.1744  0.8256
Cr  0.5000  0.8256  0.1744
Cr  0.5000  0.8256  0.6512
Cr  0.5000  0.3488  0.1744

## Properties
Total magnetic moment, Bohr magnetons per cell: 0.00
Calculated formation energy, eV per formula unit: 2.14
Excess energy over the best structure of this formula in the dataset, eV per atom: 0.483

***

17.
Density functional theory data (GGA-PBE) for an optimized crystal structure of In3MoIr.

a = 5.1804 Å, b = 5.1804 Å, c = 5.1804 Å
α = 90.00°, β = 90.00°, γ = 90.00°
Site moments in Bohr magnetons follow the coordinates.
Sites, in units of the cell vectors:
Mo  0.0000  0.0000  0.0000  1.29
In  0.0000  0.5000  0.0000  0.01
In  0.0000  0.0000  0.5000  -0.01
In  0.5000  0.0000  0.0000  -0.01
Ir  0.5000  0.5000  0.5000  1.56

## Properties
Total magnetic moment, Bohr magnetons per cell: 3.05
Calculated formation energy, eV per formula unit: 7.11
Excess energy over the best structure of this formula in the dataset, eV per atom: 0.630

***

18.
Density functional theory data (GGA-PBE) for an optimized crystal structure of GdZnCu2.

a = 3.2129 Å, b = 3.2129 Å, c = 6.6419 Å
α = 90.00°, β = 90.00°, γ = 90.00°
Site moments in Bohr magnetons follow the coordinates.
Sites, in units of the cell vectors:
Gd  0.5000  0.5000  0.5000  7.13
Cu  0.0000  0.0000  0.1956  0.01
Cu  0.0000  0.0000  0.8044  0.01
Zn  0.5000  0.5000  0.0000  0.00

## Properties
Total magnetic moment, Bohr magnetons per cell: 7.29
Calculated formation energy, eV per formula unit: -0.40

***

19.
Density functional theory data (GGA-PBE) for an optimized crystal structure of Sn2BiN.

a = 5.1430 Å, b = 5.1430 Å, c = 5.1430 Å
α = 60.00°, β = 60.00°, γ = 60.00°
Site moments in Bohr magnetons follow the coordinates.
Sites, in units of the cell vectors:
Sn  0.2500  0.2500  0.2500  -0.03
Sn  0.7500  0.7500  0.7500  -0.03
N  0.0000  0.0000  0.0000  0.97
Bi  0.5000  0.5000  0.5000  0.12

## Properties
Total magnetic moment, Bohr magnetons per cell: 1.38
Formation energy (no corrections), eV per atom: 1.08
Excess energy over the best structure of this formula in the dataset, eV per atom: 0.633

***

20.
Density functional theory data (GGA-PBE) for an optimized crystal structure of SrEuCu.

a = 7.0203 Å, b = 4.3291 Å, c = 4.3291 Å
α = 120.00°, β = 90.00°, γ = 90.00°
Site moments in Bohr magnetons follow the coordinates.
Sites, in units of the cell vectors:
Cu  0.0084  0.0000  0.0000  -0.01
Eu  0.2407  0.3333  0.6667  6.95
Sr  0.7509  0.6667  0.3333  0.02

## Properties
Total magnetic moment, Bohr magnetons per cell: 7.57
Calculated formation energy, eV per formula unit: 0.10
Excess energy over the best structure of this formula in the dataset, eV per atom: 0.047